An optimized crystal structure of HfZr3Ir. Source: Alexandria, functional PBE.

Output
- Total energy: -7.51 eV/atom
- E above lowest polymorph: 1345 meV/atom
- Crystal system: cubic

Unit cell a=5.0042 b=5.0042 c=5.0042 alpha=90.00 beta=90.00 gamma=90.00
Closest atoms and distances in Å follow each position.
Element x y z (fractional)
Ir (0.5000, 0.5000, 0.5000)  12 Zr 3.54
Hf (0.0000, 0.0000, 0.0000)  6 Zr 2.50
Zr (0.0000, 0.5000, 0.0000)  2 Hf 2.50
Zr (0.0000, 0.0000, 0.5000)  2 Hf 2.50
Zr (0.5000, 0.0000, 0.0000)  2 Hf 2.50